Density functional theory data (PBE) for TlCo2Hg after structural relaxation.

Lattice parameters (Å, degrees): 4.593 4.593 4.593 60.00 60.00 60.00
Each line ends with the local moment (μB).
Fractional positions:
Co (0.000, 0.000, 0.000)  1.62
Co (0.250, 0.250, 0.250)  1.68
Hg (0.500, 0.500, 0.500)  0.00
Tl (0.750, 0.750, 0.750)  0.00

Summary:
* calculated formation energy: 289 kJ/mol of formula units
* excess energy over the best structure of this formula in the dataset: 0.357 eV per atom
* DFT total energy: -13.88 eV per cell
* symmetry: No. 216

---

Density functional theory data (PBE) for Ho5AlAg after structural relaxation.

Lattice parameters (Å, degrees): 6.288 6.288 10.036 89.48 89.48 89.64
Fractional positions:
Ho (0.048, 0.613, 0.172)
Ho (0.244, 0.422, 0.500)
Ho (0.613, 0.048, 0.672)
Ho (0.853, 0.147, 0.250)
Ho (0.578, 0.756, 0.000)
Ho (0.422, 0.244, 0.000)
Ho (0.147, 0.853, 0.750)
Ho (0.387, 0.952, 0.328)
Ho (0.756, 0.578, 0.500)
Ho (0.952, 0.387, 0.828)
Al (0.513, 0.487, 0.250)
Al (0.487, 0.513, 0.750)
Ag (0.000, 0.000, 0.000)
Ag (0.000, 0.000, 0.500)

Summary:
* calculated formation energy: -21 kJ/mol of formula units
* DFT total energy: -59.39 eV per cell
* symmetry: No. 15

---

Density functional theory data (PBE) for Sn2BAu2 after structural relaxation.

Lattice parameters (Å, degrees): 6.140 6.140 5.755 90.00 90.00 90.00
Fractional positions:
B (0.000, 0.000, 0.000)
B (0.500, 0.500, 0.000)
Au (0.239, 0.739, 0.000)
Au (0.739, 0.761, 0.000)
Au (0.761, 0.261, 0.000)
Au (0.261, 0.239, 0.000)
Sn (0.192, 0.692, 0.500)
Sn (0.692, 0.808, 0.500)
Sn (0.808, 0.308, 0.500)
Sn (0.308, 0.192, 0.500)

Summary:
* calculated formation energy: 145 kJ/mol of formula units
* excess energy over the best structure of this formula in the dataset: 0.000 eV per atom
* DFT total energy: -39.48 eV per cell
* symmetry: No. 127

---

Density functional theory data (PBE) for Ac5Sm2Tl4 after structural relaxation.

Lattice parameters (Å, degrees): 3.861 9.109 12.824 111.63 98.66 90.00
Fractional positions:
Ac (0.169, 0.912, 0.339)
Ac (0.831, 0.088, 0.661)
Ac (0.128, 0.299, 0.256)
Ac (0.500, 0.000, 0.000)
Ac (0.872, 0.701, 0.744)
Sm (0.727, 0.642, 0.454)
Sm (0.273, 0.358, 0.546)
Tl (0.588, 0.566, 0.177)
Tl (0.014, 0.697, 0.028)
Tl (0.412, 0.434, 0.823)
Tl (0.986, 0.303, 0.972)

Summary:
* calculated formation energy: -22 kJ/mol of formula units
* DFT total energy: -39.67 eV per cell
* symmetry: No. 12

---

Which of these has the highest DFT total energy?
TlCo2Hg

---

Which of these has the highest DFT total energy?
TlCo2Hg